# 1
Al7W8, optimized geometry, DFT PBE; energy above the most stable polymorph in this dataset = 119 meV/atom
1.0
-0.971 -3.314 9.173
-8.125 -4.824 -2.603
2.773 -4.042 -1.167
Al W
14 16
Direct
0.000 0.000 0.000
0.805 0.805 0.752
0.805 0.805 0.248
0.195 0.195 0.752
0.305 0.695 0.748
0.695 0.305 0.252
0.389 0.389 0.000
0.695 0.305 0.748
0.500 0.500 0.500
0.111 0.889 0.500
0.305 0.695 0.252
0.195 0.195 0.248
0.889 0.111 0.500
0.611 0.611 0.000
0.976 0.369 0.500
0.869 0.524 0.000
0.245 0.444 0.500
0.755 0.556 0.500
0.369 0.976 0.500
0.944 0.255 0.000
0.745 0.056 0.000
0.444 0.245 0.500
0.131 0.476 0.000
0.476 0.131 0.000
0.524 0.869 0.000
0.556 0.755 0.500
0.056 0.745 0.000
0.255 0.944 0.000
0.631 0.024 0.500
0.024 0.631 0.500

# 2
Al9W4, optimized geometry, DFT PBE; energy above the most stable polymorph in this dataset = 19 meV/atom
1.0
2.487 1.436 9.272
-2.487 1.436 9.272
0.000 -2.871 9.272
Al W
9 4
Direct
0.909 0.413 0.909
0.833 0.833 0.833
0.587 0.091 0.091
0.000 0.000 0.000
0.091 0.587 0.091
0.909 0.909 0.413
0.091 0.091 0.587
0.413 0.909 0.909
0.167 0.167 0.167
0.546 0.546 0.546
0.347 0.347 0.347
0.653 0.653 0.653
0.454 0.454 0.454

# 3
A relaxed structure of AlW14. Source: the Open Quantum Materials Database, functional PBE.

```
AlW14
1.0
-2.036 -1.863 9.363
9.532 -0.931 1.888
0.279 4.990 1.054
W Al
28 2
Direct
0.538 0.872 0.000
0.397 0.397 0.000
0.242 0.435 0.500
0.128 0.462 0.000
0.065 0.742 0.000
0.681 0.319 0.250
0.935 0.258 0.000
0.435 0.242 0.500
0.565 0.758 0.500
0.758 0.565 0.500
0.319 0.681 0.250
0.181 0.181 0.750
0.628 0.038 0.500
0.372 0.962 0.500
0.258 0.935 0.000
0.038 0.628 0.500
0.103 0.897 0.500
0.462 0.128 0.000
0.897 0.103 0.500
0.181 0.181 0.250
0.603 0.603 0.000
0.819 0.819 0.750
0.319 0.681 0.750
0.962 0.372 0.500
0.872 0.538 0.000
0.819 0.819 0.250
0.742 0.065 0.000
0.681 0.319 0.750
0.500 0.500 0.500
0.000 0.000 0.000
```

# 4
Al2W11, optimized geometry, DFT PBE; energy above the most stable polymorph in this dataset = 0 meV/atom
1.0
7.653 4.713 3.449
8.075 4.937 -1.755
4.905 8.249 0.754
Al W
2 11
Direct
0.452 0.452 0.452
0.548 0.548 0.548
0.911 0.911 0.415
0.000 0.000 0.000
0.651 0.651 0.651
0.089 0.089 0.585
0.167 0.167 0.167
0.349 0.349 0.349
0.833 0.833 0.833
0.089 0.585 0.089
0.585 0.089 0.089
0.911 0.415 0.911
0.415 0.911 0.911

Number 1: total magnetization 0.0 μB per cell, DFT total energy -8.5628 eV/atom. Number 2: total magnetization 0.0 μB per cell, DFT total energy -6.5004 eV/atom. Number 3: total magnetization 0.0 μB per cell, DFT total energy -12.2392 eV/atom. Number 4: total magnetization 0.0 μB per cell, DFT total energy -11.2745 eV/atom.